This record from Alexandria via LeMat-Bulk describes crystalline Ba2Zn7Ga at its relaxed geometry. The functional is PBE.

Computed properties:
Crystal system ... tetragonal
Space-group type ... P-4m2
Uncorrected energy ... -1.788 eV/atom
Energy relative to the elements ... -209 meV per atom

Unit cell a=4.550 b=4.550 c=10.954 alpha=90.00 beta=90.00 gamma=90.00
Fractional coordinates of all 10 atoms:
Ba (0.000, 0.500, 0.249)
Ba (0.500, 0.000, 0.751)
Zn (0.000, 0.000, 0.000)
Zn (0.000, 0.500, 0.626)
Zn (0.000, 0.500, 0.878)
Zn (0.500, 0.000, 0.122)
Zn (0.500, 0.000, 0.374)
Zn (0.500, 0.500, 0.000)
Zn (0.500, 0.500, 0.500)
Ga (0.000, 0.000, 0.500)